Entry 1:
Here is TlNi2Os after structural relaxation from Alexandria via LeMat-Bulk. Energies are from PBEsol.

Summary:
The symmetry is Pmm2, No. 25. As for the energy above the lowest structure with this stoichiometry: 0.000 eV per atom.

a b c (Å): 2.717 4.329 4.723
angles (deg): 90.00 90.00 90.00
Fractional positions:
Ni (0.000, 0.000, 0.023)
Ni (0.000, 0.500, 0.702)
Os (0.500, 0.000, 0.578)
Tl (0.500, 0.500, 0.197)

=====

Entry 2:
Here is Tl2NiOs after structural relaxation from Alexandria via LeMat-Bulk. Energies are from PBEsol.

Summary:
The symmetry is C2/m, No. 12. The calculation puts the raw total energy at -0.370 Ry/atom.

a b c (Å): 3.043 5.356 5.356
angles (deg): 111.87 105.63 105.63
Fractional positions:
Ni (0.500, 0.500, 0.500)
Os (0.500, 0.000, 0.000)
Tl (0.000, 0.000, 0.500)
Tl (0.000, 0.500, 0.000)

=====

Entry 3:
Here is TlNi2Os after structural relaxation from Alexandria via LeMat-Bulk. Energies are from PBEsol.

Summary:
The symmetry is P4/mmm, No. 123. As for the energy above the lowest structure with this stoichiometry: 0.057 eV per atom.

a b c (Å): 2.720 4.506 4.506
angles (deg): 90.00 90.00 90.00
Fractional positions:
Ni (0.000, 0.000, 0.500)
Ni (0.000, 0.500, 0.000)
Os (0.500, 0.500, 0.500)
Tl (0.500, 0.000, 0.000)

=====

Entry 4:
Here is NiOsW2 after structural relaxation from Alexandria via LeMat-Bulk. Energies are from PBEsol.

Summary:
The symmetry is P4/mmm, No. 123. As for the energy above the lowest structure with this stoichiometry: 0.000 eV per atom.

a b c (Å): 3.816 3.816 3.827
angles (deg): 90.00 90.00 90.00
Fractional positions:
Ni (0.500, 0.500, 0.500)
Os (0.000, 0.000, 0.500)
W (0.000, 0.500, 0.000)
W (0.500, 0.000, 0.000)

=====

Entry 5:
Here is NiOsW after structural relaxation from Alexandria via LeMat-Bulk. Energies are from PBEsol.

Summary:
The symmetry is F-43m, No. 216. As for the energy above the lowest structure with this stoichiometry: 0.561 eV per atom.

a b c (Å): 4.089 4.089 4.089
angles (deg): 60.00 60.00 60.00
Fractional positions:
Ni (0.000, 0.000, 0.000)
Os (0.500, 0.500, 0.500)
W (0.250, 0.250, 0.250)

=====

Entry 6:
Here is NiOsW2 after structural relaxation from Alexandria via LeMat-Bulk. Energies are from PBEsol.

Summary:
The symmetry is I4/mmm, No. 139. As for the energy above the lowest structure with this stoichiometry: 0.003 eV per atom.

a b c (Å): 3.834 3.834 4.667
angles (deg): 114.25 114.25 90.00
Fractional positions:
Ni (0.500, 0.500, 0.000)
Os (0.000, 0.000, 0.000)
W (0.750, 0.250, 0.500)
W (0.250, 0.750, 0.500)

=====

Entry 7:
Here is NiOs2W after structural relaxation from Alexandria via LeMat-Bulk. Energies are from PBEsol.

Summary:
The symmetry is Immm, No. 71. As for the energy above the lowest structure with this stoichiometry: 0.285 eV per atom.

a b c (Å): 2.733 4.372 5.249
angles (deg): 114.61 105.09 90.00
Fractional positions:
Ni (0.000, 0.500, 0.000)
Os (0.721, 0.721, 0.442)
Os (0.279, 0.279, 0.558)
W (0.500, 0.000, 0.000)

=====

Entry 8:
Here is NiOsW after structural relaxation from Alexandria via LeMat-Bulk. Energies are from PBEsol.

Summary:
The symmetry is Imm2, No. 44. As for the energy above the lowest structure with this stoichiometry: 0.000 eV per atom.

a b c (Å): 2.662 3.817 4.611
angles (deg): 114.45 106.78 90.00
Fractional positions:
Ni (0.003, 0.003, 0.005)
Os (0.663, 0.663, 0.325)
W (0.335, 0.335, 0.669)